Entry from the Alexandria database: a relaxed structure of Tb3Mg2UN6 (GGA-PBE).

Summary:
Final energy = -94.44 eV per cell
Formation energy (no corrections) = -129.6 kJ per mole of atoms

```
Tb3Mg2UN6
1.0
5.8657 -0.0075 0.0092
-2.9379 5.0769 0.0092
-0.9673 -1.6749 5.5566
Tb Mg U N
3 2 1 6
Cartesian
-1.9178 3.3710 2.7875
3.8783 0.0235 2.7875
0.9802 1.6973 2.7875
0.0068 3.3762 0.0092
2.9210 1.6932 0.0092
0.0000 0.0000 0.0000
2.8859 1.7821 4.2316
2.0139 3.4870 1.3196
-0.9254 1.6124 1.3434
0.1014 3.3903 4.2316
-0.0534 -0.0924 4.2554
1.8591 0.0042 1.3434
```

=====

Entry from the Alexandria database: a relaxed structure of TbMg2WN4 (GGA-PBE).

Summary:
Final energy = -122.56 eV per cell
Formation energy (no corrections) = -86.9 kJ per mole of atoms

```
TbMg2WN4
1.0
4.9179 0.0000 0.0000
0.0000 6.1428 0.0000
0.0000 0.0000 7.3891
Tb Mg W N
2 4 2 8
Cartesian
4.6660 0.9417 3.6946
2.2071 5.2011 0.0000
2.2998 2.0730 1.8747
2.2998 2.0730 5.5145
4.7588 4.0698 5.5692
4.7588 4.0698 1.8199
2.3539 5.0248 3.6946
4.8128 1.1180 0.0000
1.8373 1.2975 0.0000
4.2963 4.8453 3.6946
2.2033 0.9087 3.6946
4.6622 5.2341 0.0000
2.0055 4.1416 5.3381
4.4644 2.0012 1.6436
4.4644 2.0012 5.7455
2.0055 4.1416 2.0510
```

=====

Entry from the Alexandria database: a relaxed structure of TbY2MgN (GGA-PBE).

Summary:
Final energy = -31.04 eV per cell
Formation energy (no corrections) = -68.8 kJ per mole of atoms

```
TbY2MgN
1.0
4.9143 0.0000 0.0000
0.0000 4.8789 0.0000
0.0000 0.0000 4.8789
Tb Y Mg N
1 2 1 1
Cartesian
2.4571 0.0000 0.0000
0.0000 0.0000 2.4395
0.0000 2.4395 0.0000
2.4571 2.4395 2.4395
0.0000 0.0000 0.0000
```

=====

Entry from the Alexandria database: a relaxed structure of MgTcN2 (GGA-PBE).

Summary:
Final energy = -29.89 eV per cell
Formation energy (no corrections) = -30.7 kJ per mole of atoms

```
MgTcN2
1.0
2.9409 0.0000 0.0000
1.4704 2.5469 0.0000
1.4704 0.8490 5.3593
Mg Tc N
1 1 2
Cartesian
4.4113 2.5469 5.3183
2.9409 1.6979 2.6947
1.4704 0.8490 3.9802
1.4704 0.8490 1.4049
```